[1]
Compound: K2ReW
Source: Alexandria via LeMat-Bulk
Functional: PBE
Structure: optimized geometry

Structure (POSCAR):
```
K2ReW
1.0
4.5311 0.0187 -0.0021
3.6928 2.6258 -0.0021
0.1308 0.0421 10.1435
Re K W
1 2 1
direct
0.4999 0.4999 0.4299
0.9997 0.9997 0.0816
0.7517 0.7517 0.6643
0.2487 0.2487 0.3242
```

Calculated values
Calculated total energy in eV/cell: -23.18
Total magnetic moment in μB per formula unit: 0.00
Energy of formation from the pure elements in meV/atom: 1105
Polymorph energy (0 for the lowest one) in eV/atom: 0.1992

***

[2]
Compound: K2ReW
Source: Alexandria via LeMat-Bulk
Functional: PBE
Structure: optimized geometry

Structure (POSCAR):
```
K2ReW
1.0
12.4099 -0.0016 -0.0009
12.0883 2.8068 -0.0009
12.0883 1.3842 2.4417
K W Re
2 1 1
direct
0.5032 0.5032 0.5032
0.9968 0.9968 0.9968
0.7500 0.7500 0.7500
0.2500 0.2500 0.2500
```

Calculated values
Calculated total energy in eV/cell: -21.50
Total magnetic moment in μB per formula unit: 0.00
Energy of formation from the pure elements in meV/atom: 1523
Polymorph energy (0 for the lowest one) in eV/atom: 0.6172

***

[3]
Compound: KRe2W
Source: Alexandria via LeMat-Bulk
Functional: PBE
Structure: optimized geometry

Structure (POSCAR):
```
KRe2W
1.0
2.7478 -0.0095 0.0000
-0.9735 2.5696 0.0000
0.0000 0.0000 10.3702
K Re W
1 2 1
direct
0.5000 0.5000 0.7500
0.0000 0.0000 0.0407
0.0000 0.0000 0.4593
0.5000 0.5000 0.2500
```

Calculated values
Calculated total energy in eV/cell: -35.94
Total magnetic moment in μB per formula unit: 0.00
Energy of formation from the pure elements in meV/atom: 752
Polymorph energy (0 for the lowest one) in eV/atom: 0.0000

***

[4]
Compound: K2ReW
Source: Alexandria via LeMat-Bulk
Functional: PBE
Structure: optimized geometry

Structure (POSCAR):
```
K2ReW
1.0
6.5984 -0.0076 0.0000
4.4198 4.8994 0.0000
-5.5091 -2.4459 2.6845
K Re W
2 1 1
direct
0.5000 0.5000 0.0000
0.0000 0.0000 0.0000
0.2500 0.7500 0.5000
0.7500 0.2500 0.5000
```

Calculated values
Calculated total energy in eV/cell: -21.35
Total magnetic moment in μB per formula unit: 0.00
Energy of formation from the pure elements in meV/atom: 1562
Polymorph energy (0 for the lowest one) in eV/atom: 0.6555

***

[5]
Compound: KReW2
Source: Alexandria via LeMat-Bulk
Functional: PBE
Structure: optimized geometry

Structure (POSCAR):
```
KReW2
1.0
-6.3016 -3.2342 -2.8540
3.3847 -0.5755 -6.8212
-0.4253 -4.5686 -4.1002
W Re K
4 2 2
direct
0.8750 0.9367 0.7500
0.3750 0.3133 0.7500
0.6867 0.1250 0.2500
0.0633 0.6250 0.2500
0.0000 0.0000 0.0000
0.7500 0.2500 0.5000
0.5000 0.5000 0.0000
0.2500 0.7500 0.5000
```

Calculated values
Calculated total energy in eV/cell: -63.85
Total magnetic moment in μB per formula unit: 0.00
Energy of formation from the pure elements in meV/atom: 1882
Polymorph energy (0 for the lowest one) in eV/atom: 1.1061

***

[6]
Compound: KReW2
Source: Alexandria via LeMat-Bulk
Functional: PBE
Structure: optimized geometry

Structure (POSCAR):
```
KReW2
1.0
2.6698 0.0000 0.0000
0.0000 5.2497 0.0000
0.0000 0.0000 5.2215
W Re K
2 1 1
direct
0.0000 0.0000 0.0000
0.5000 0.5000 0.0000
0.0000 0.5000 0.5000
0.5000 0.0000 0.5000
```

Calculated values
Calculated total energy in eV/cell: -32.40
Total magnetic moment in μB per formula unit: 0.00
Energy of formation from the pure elements in meV/atom: 1764
Polymorph energy (0 for the lowest one) in eV/atom: 0.9881

***

[7]
Compound: K2ReW
Source: Alexandria via LeMat-Bulk
Functional: PBE
Structure: optimized geometry

Structure (POSCAR):
```
K2ReW
1.0
0.0000 3.6568 3.6568
3.6568 0.0000 3.6568
3.6568 3.6568 0.0000
K Re W
2 1 1
direct
0.2500 0.2500 0.2500
0.7500 0.7500 0.7500
0.5000 0.5000 0.5000
0.0000 0.0000 0.0000
```

Calculated values
Calculated total energy in eV/cell: -14.67
Total magnetic moment in μB per formula unit: 0.00
Energy of formation from the pure elements in meV/atom: 3232
Polymorph energy (0 for the lowest one) in eV/atom: 2.3259

***

[8]
Compound: KReW2
Source: Alexandria via LeMat-Bulk
Functional: PBE
Structure: optimized geometry

Structure (POSCAR):
```
KReW2
1.0
-1.0196 2.8835 -0.4003
-2.7669 -1.0917 -0.8167
-2.6828 0.2642 8.7363
Re W K
1 2 1
direct
0.5000 0.5000 0.8315
0.5000 0.5000 0.1678
0.0000 0.0000 0.9905
0.0000 0.0000 0.5103
```

Calculated values
Calculated total energy in eV/cell: -35.30
Total magnetic moment in μB per formula unit: 0.00
Energy of formation from the pure elements in meV/atom: 1039
Polymorph energy (0 for the lowest one) in eV/atom: 0.2628

***

[9]
Compound: KRe2W
Source: Alexandria via LeMat-Bulk
Functional: PBE
Structure: optimized geometry

Structure (POSCAR):
```
KRe2W
1.0
-3.3680 -1.4983 -4.1076
0.2727 -3.6398 4.1398
-1.9560 1.1857 1.1713
Re K W
2 1 1
direct
0.5000 0.5000 0.0000
0.0000 0.0000 0.0000
0.0000 0.5000 0.5000
0.5000 0.0000 0.5000
```

Calculated values
Calculated total energy in eV/cell: -32.64
Total magnetic moment in μB per formula unit: 0.00
Energy of formation from the pure elements in meV/atom: 1578
Polymorph energy (0 for the lowest one) in eV/atom: 0.8261

***

[10]
Compound: K2ReW
Source: Alexandria via LeMat-Bulk
Functional: PBE
Structure: optimized geometry

Structure (POSCAR):
```
K2ReW
1.0
-5.3616 -8.9332 -7.0762
10.0513 -7.3924 1.7166
1.3313 -9.0906 -0.7405
W Re K
2 2 4
direct
0.2500 0.7500 0.5000
0.5000 0.5000 0.0000
0.0000 0.0000 0.0000
0.7500 0.2500 0.5000
0.7888 0.1250 0.2500
0.3750 0.2112 0.7500
0.9612 0.6250 0.2500
0.8750 0.0388 0.7500
```

Calculated values
Calculated total energy in eV/cell: -39.62
Total magnetic moment in μB per formula unit: 0.06
Energy of formation from the pure elements in meV/atom: 1946
Polymorph energy (0 for the lowest one) in eV/atom: 1.0402

***

[11]
Compound: KReW2
Source: Alexandria via LeMat-Bulk
Functional: PBE
Structure: optimized geometry

Structure (POSCAR):
```
KReW2
1.0
4.6349 0.0000 0.0000
2.3174 4.0139 0.0000
2.3174 1.3380 3.7844
Re W K
1 2 1
direct
0.7500 0.7500 0.7500
0.2500 0.2500 0.2500
0.0000 0.0000 0.0000
0.5000 0.5000 0.5000
```

Calculated values
Calculated total energy in eV/cell: -32.70
Total magnetic moment in μB per formula unit: 0.00
Energy of formation from the pure elements in meV/atom: 1688
Polymorph energy (0 for the lowest one) in eV/atom: 0.9118

***

[12]
Compound: KZrReW2
Source: Alexandria via LeMat-Bulk
Functional: PBE
Structure: optimized geometry

Structure (POSCAR):
```
KZrReW2
1.0
-4.8844 0.5502 -0.9361
-0.6564 -4.9372 0.5229
-0.8654 0.6327 4.8875
K Zr W Re
1 1 2 1
direct
0.5000 0.5000 0.5000
0.0000 0.0000 0.0000
0.0000 0.0000 0.5000
0.5000 0.0000 0.0000
0.0000 0.5000 0.0000
```

Calculated values
Calculated total energy in eV/cell: -35.31
Total magnetic moment in μB per formula unit: 0.10
Energy of formation from the pure elements in meV/atom: 2539